Record 1
LiMgNiAg (PBE, relaxed); magnetization = 0.0 Bohr magnetons per cell; excess energy over the best structure of this formula in the dataset = 0 meV per atom
1.0
0.000 3.092 3.092
3.092 0.000 3.092
3.092 3.092 0.000
Li Mg Ni Ag
1 1 1 1
Direct
0.000 0.000 0.000
0.250 0.250 0.250
0.500 0.500 0.500
0.750 0.750 0.750

***

Record 2
LiMgNiAg (PBE, relaxed); magnetization = 0.0 Bohr magnetons per cell; excess energy over the best structure of this formula in the dataset = 24 meV per atom
1.0
0.000 3.107 3.107
3.107 0.000 3.107
3.107 3.107 0.000
Li Mg Ni Ag
1 1 1 1
Direct
0.000 0.000 0.000
0.500 0.500 0.500
0.250 0.250 0.250
0.750 0.750 0.750

***

Record 3
Li4MgAgPb2 (PBE, relaxed); E = -2.70 eV/atom
1.0
4.799 0.000 0.000
0.000 4.799 0.000
0.000 0.000 6.737
Li Mg Ag Pb
4 1 1 2
Direct
0.000 0.000 0.000
0.000 0.500 0.223
0.500 0.000 0.777
0.500 0.500 0.500
0.000 0.000 0.500
0.500 0.500 0.000
0.000 0.500 0.752
0.500 0.000 0.248

***

Record 4
Li4MgSi2Ag (PBE, relaxed); E = -3.10 eV/atom
1.0
4.416 0.000 0.000
0.000 4.416 0.000
0.000 0.000 6.220
Li Mg Si Ag
4 1 2 1
Direct
0.000 0.000 0.000
0.000 0.500 0.730
0.500 0.000 0.270
0.500 0.500 0.500
0.500 0.500 0.000
0.000 0.500 0.256
0.500 0.000 0.744
0.000 0.000 0.500

***

Record 5
LiMgSiAg (PBE, relaxed); excess energy over the best structure of this formula in the dataset = 0 meV per atom
1.0
0.000 3.187 3.187
3.187 0.000 3.187
3.187 3.187 0.000
Li Mg Si Ag
1 1 1 1
Direct
0.000 0.000 0.000
0.750 0.750 0.750
0.500 0.500 0.500
0.250 0.250 0.250

***

Record 6
LiMgSiAg (PBE, relaxed); excess energy over the best structure of this formula in the dataset = 10 meV per atom
1.0
0.000 3.177 3.177
3.177 0.000 3.177
3.177 3.177 0.000
Li Mg Si Ag
1 1 1 1
Direct
0.000 0.000 0.000
0.250 0.250 0.250
0.750 0.750 0.750
0.500 0.500 0.500